# 1
VASP calculation (PBE) on a relaxed DyTm2Sb crystal. Values from VASP.

```
&SYSTEM
  ibrav = 0, nat = 8, ntyp = 3
/
ATOMIC_SPECIES
Dy 162.50 Dy.upf
Tm 168.93 Tm.upf
Sb 121.76 Sb.upf
ATOMIC_POSITIONS crystal
Dy 0.057 0.943 0.750
Dy 0.943 0.057 0.250
Tm 0.364 0.636 0.547
Tm 0.364 0.636 0.953
Tm 0.636 0.364 0.047
Tm 0.636 0.364 0.453
Sb 0.242 0.758 0.250
Sb 0.758 0.242 0.750
CELL_PARAMETERS angstrom
2.048 -6.063 0.000
2.048 6.063 0.000
0.000 0.000 9.376
```

Formation energy from raw total energies in meV per atom: -538
Energy in eV/atom: -4.95
ρ in g/cm³: 8.87
Energy relative to the lowest polymorph listed for this composition in eV/atom: 0.000
Crystal system: orthorhombic
M_tot in μB/cell: 0.00
DOS at the Fermi energy in states/eV/cell: 11.30

=====

# 2
VASP calculation (PBE) on a relaxed Ac6Tl2In3 crystal. Values from VASP.

```
&SYSTEM
  ibrav = 0, nat = 11, ntyp = 3
/
ATOMIC_SPECIES
Ac 227.00 Ac.upf
Tl 204.38 Tl.upf
In 114.82 In.upf
ATOMIC_POSITIONS crystal
Ac 0.090 0.590 0.500
Ac 0.213 0.213 0.000
Ac 0.410 0.910 0.500
Ac 0.590 0.090 0.500
Ac 0.787 0.787 0.000
Ac 0.910 0.410 0.500
Tl 0.064 0.064 0.000
Tl 0.936 0.936 0.000
In 0.358 0.358 0.000
In 0.500 0.500 0.000
In 0.642 0.642 0.000
CELL_PARAMETERS angstrom
-3.234 3.234 11.085
3.234 -3.234 11.085
3.234 3.234 -11.085
```

Energy of formation in meV per atom: -16.7
Energy in eV/atom: -3.43
ρ in g/cm³: 7.57
Crystal system: tetragonal
M_tot in μB/cell: 0.00
DOS at the Fermi energy in states/eV/cell: 14.40

=====

Please write out number 2 again, unchanged.
VASP calculation (PBE) on a relaxed Ac6Tl2In3 crystal. Values from VASP.

```
&SYSTEM
  ibrav = 0, nat = 11, ntyp = 3
/
ATOMIC_SPECIES
Ac 227.00 Ac.upf
Tl 204.38 Tl.upf
In 114.82 In.upf
ATOMIC_POSITIONS crystal
Ac 0.090 0.590 0.500
Ac 0.213 0.213 0.000
Ac 0.410 0.910 0.500
Ac 0.590 0.090 0.500
Ac 0.787 0.787 0.000
Ac 0.910 0.410 0.500
Tl 0.064 0.064 0.000
Tl 0.936 0.936 0.000
In 0.358 0.358 0.000
In 0.500 0.500 0.000
In 0.642 0.642 0.000
CELL_PARAMETERS angstrom
-3.234 3.234 11.085
3.234 -3.234 11.085
3.234 3.234 -11.085
```

Energy of formation in meV per atom: -16.7
Energy in eV/atom: -3.43
ρ in g/cm³: 7.57
Crystal system: tetragonal
M_tot in μB/cell: 0.00
DOS at the Fermi energy in states/eV/cell: 14.40

=====

Question: Among the records above, which one has the highest energy?
Answer: Ac6Tl2In3

=====

Question: Look up the ρ of the first one.
Answer: 8.87 g/cm³